Compound: CeP3O12
Source: Alexandria via LeMat-Bulk
Functional: PBE
Structure: optimized geometry

a b c (Å): 7.2006 7.2006 5.8899
angles (deg): 90.00 90.00 120.00
Last column: nearest neighbours and their distance in Å.
Space group P-6 (No. 174)
Asymmetric unit:
Ce 0.0000 0.0000 0.0000 (multiplicity 1)  9 O 2.36-2.41
P 0.1583 0.7637 0.5000 (multiplicity 3)  4 O 1.50-1.61
O 0.0768 0.8065 0.2830 (multiplicity 6)  1 P 1.50
O 0.1025 0.5182 0.5000 (multiplicity 3)  2 P 1.61
O 0.3507 0.0513 0.0000 (multiplicity 3)  1 Ce 2.36, 2 O 2.51

Summary:
Formation energy without anion corrections = -25.59 eV/f.u.
DOS(E_F) = 0.37 states/eV per atom
Density = 2.669 Mg/m³
Crystal system = hexagonal